{
  "formula": "Be2Nb2Ru",
  "functional": "PBEsol",
  "state": "optimized geometry",
  "cell": [[6.237, 0.000, 0.000], [0.000, 6.237, 0.000], [0.000, 0.000, 3.289]],
  "species": ["Be", "Be", "Be", "Be", "Nb", "Nb", "Nb", "Nb", "Ru", "Ru"],
  "frac_coords": [[0.122, 0.378, 0.000], [0.378, 0.878, 0.000], [0.622, 0.122, 0.000], [0.878, 0.622, 0.000], [0.175, 0.675, 0.500], [0.325, 0.175, 0.500], [0.675, 0.825, 0.500], [0.825, 0.325, 0.500], [0.000, 0.000, 0.000], [0.500, 0.500, 0.000]],
  "formation_energy_ev_per_atom": -0.311,
  "polymorph_energy_mev_per_atom": 0
}